A relaxed structure of Li4PmNd. Source: Alexandria via LeMat-Bulk, functional PBE-GGA.

Summary:
The value obtained for the spin magnetization is 0.00 μB/cell. The calculation puts the formation energy at 102 meV per atom.

Cell: 8.4186 8.4186 8.4186 Å, 90.00 90.00 90.00°
Closest atoms and distances in Å follow each position.
Space group F-43m (No. 216)
Symmetry-distinct sites (fractional):
Li 0.1249 0.1249 0.1249  6 Li 2.97-2.98
Pm 0.2500 0.2500 0.7500  12 Li 3.49, 4 Nd 3.65
Nd 0.0000 0.0000 0.5000  12 Li 3.49, 4 Pm 3.65


A relaxed structure of Li2PmNd. Source: Alexandria via LeMat-Bulk, functional PBE-GGA.

Summary:
The value obtained for the spin magnetization is 1.95 μB/cell. The calculation puts the formation energy at 153 meV per atom.

Cell: 7.6266 7.6266 7.6266 Å, 90.00 90.00 90.00°
Closest atoms and distances in Å follow each position.
Space group Fm-3m (No. 225)
Symmetry-distinct sites (fractional):
Li 0.2500 0.2500 0.2500  4 Nd 3.30, 4 Pm 3.30
Pm 0.0000 0.0000 0.0000  8 Li 3.30
Nd 0.0000 0.0000 0.5000  8 Li 3.30